The following is a DFT calculation (PBE) of a relaxed BaNdTm crystal.

```
BaNdTm
1.0
0.000 4.119 4.119
4.119 0.000 4.119
4.119 4.119 0.000
Tm Ba Nd
1 1 1
direct
0.000 0.000 0.000
0.250 0.250 0.250
0.750 0.750 0.750
```

Calculated values
- Total DFT energy (no corrections): -2.937 eV per atom
- Theoretical density: 5.4 Mg/m³